Material: Ac2FeNiO6
Method: DFT, PBE+U
State: relaxed

Summary:
As for the symmetry: P2_1/c, No. 14. The value obtained for the calculated total energy is -6.882 eV per atom.

Geometry as POSCAR:
```
Ac2FeNiO6
1.0
-4.691 -2.225 2.202
-2.008 -0.830 -5.115
3.357 -7.179 -0.153
O Ni Fe Ac
12 2 2 4
Direct
0.953 0.499 0.245 O
0.761 0.744 0.977 O
0.239 0.256 0.023 O
0.253 0.245 0.474 O
0.547 0.999 0.255 O
0.739 0.244 0.523 O
0.247 0.745 0.026 O
0.047 0.501 0.755 O
0.261 0.756 0.477 O
0.747 0.755 0.526 O
0.753 0.255 0.974 O
0.453 0.001 0.745 O
0.500 0.000 0.000 Ni
0.000 0.500 0.500 Ni
0.000 0.500 0.000 Fe
0.500 0.000 0.500 Fe
0.499 0.499 0.250 Ac
0.999 0.001 0.750 Ac
0.501 0.501 0.750 Ac
0.001 0.999 0.250 Ac
```